The following is a DFT calculation (PBE-GGA) of La3Pm2Y8 after structural relaxation.

```
data_La3Pm2Y8
_chemical_formula_sum 'La6 Pm4 Y16'
_cell_length_a 21.074
_cell_length_b 5.145
_cell_length_c 8.116
_cell_angle_alpha 90.00
_cell_angle_beta 94.37
_cell_angle_gamma 90.00
_space_group_name_H-M_alt 'C 1 2/m 1'
_space_group_IT_number 12
loop_
_space_group_symop_operation_xyz
'x,y,z'
'-x,-y,-z'
'-x,y,-z'
'x,-y,z'
'x+1/2,y+1/2,z'
'-x+1/2,-y+1/2,-z'
'-x+1/2,y+1/2,-z'
'x+1/2,-y+1/2,z'
loop_
_atom_site_label
_atom_site_type_symbol
_atom_site_fract_x
_atom_site_fract_y
_atom_site_fract_z
La1 La 0.000 0.000 0.000
La2 La 0.038 0.500 0.305
Pm1 Pm 0.231 0.000 0.847
Y1 Y 0.078 0.000 0.613
Y2 Y 0.117 0.500 0.920
Y3 Y 0.156 0.000 0.231
Y4 Y 0.193 0.500 0.540
```

Distance to the lowest polymorph of the same formula in meV/atom: 0.0
Calculated total energy in eV/f.u.: -75.647
Spin magnetization in μB per atom: 0.0000


The following is a DFT calculation (PBE-GGA) of La2Pm3Y8 after structural relaxation.

```
data_La2Pm3Y8
_chemical_formula_sum 'La4 Pm6 Y16'
_cell_length_a 14.891
_cell_length_b 9.252
_cell_length_c 7.006
_cell_angle_alpha 90.00
_cell_angle_beta 108.14
_cell_angle_gamma 90.00
_space_group_name_H-M_alt 'C 1 2/m 1'
_space_group_IT_number 12
loop_
_space_group_symop_operation_xyz
'x,y,z'
'-x,-y,-z'
'-x,y,-z'
'x,-y,z'
'x+1/2,y+1/2,z'
'-x+1/2,-y+1/2,-z'
'-x+1/2,y+1/2,-z'
'x+1/2,-y+1/2,z'
loop_
_atom_site_label
_atom_site_type_symbol
_atom_site_fract_x
_atom_site_fract_y
_atom_site_fract_z
La1 La 0.217 0.000 0.421
Pm1 Pm 0.000 0.000 0.000
Pm2 Pm 0.000 0.175 0.500
Y1 Y 0.082 0.500 0.728
Y2 Y 0.118 0.319 0.172
Y3 Y 0.191 0.000 0.894
```

Distance to the lowest polymorph of the same formula in meV/atom: 0.0
Calculated total energy in eV/f.u.: -72.833
Spin magnetization in μB per atom: 0.0000


The following is a DFT calculation (PBE-GGA) of LaPm9Y2 after structural relaxation.

```
data_LaPm9Y2
_chemical_formula_sum 'La1 Pm9 Y2'
_cell_length_a 5.153
_cell_length_b 5.153
_cell_length_c 15.483
_cell_angle_alpha 90.00
_cell_angle_beta 90.00
_cell_angle_gamma 90.00
_space_group_name_H-M_alt 'P 4/m m m'
_space_group_IT_number 123
_space_group_name_Hall '-P 4 2'
loop_
_atom_site_label
_atom_site_type_symbol
_atom_site_fract_x
_atom_site_fract_y
_atom_site_fract_z
La1 La 0.000 0.000 0.000
Pm1 Pm 0.000 0.500 0.169
Pm2 Pm 0.000 0.500 0.500
Pm3 Pm 0.500 0.500 0.000
Pm4 Pm 0.500 0.500 0.336
Y1 Y 0.000 0.000 0.334
```

Calculated total energy in eV/f.u.: -60.395
Spin magnetization in μB per atom: 0.0000


Please write out number 1 again, unchanged.
The following is a DFT calculation (PBE-GGA) of La3Pm2Y8 after structural relaxation.

```
data_La3Pm2Y8
_chemical_formula_sum 'La6 Pm4 Y16'
_cell_length_a 21.074
_cell_length_b 5.145
_cell_length_c 8.116
_cell_angle_alpha 90.00
_cell_angle_beta 94.37
_cell_angle_gamma 90.00
_space_group_name_H-M_alt 'C 1 2/m 1'
_space_group_IT_number 12
loop_
_space_group_symop_operation_xyz
'x,y,z'
'-x,-y,-z'
'-x,y,-z'
'x,-y,z'
'x+1/2,y+1/2,z'
'-x+1/2,-y+1/2,-z'
'-x+1/2,y+1/2,-z'
'x+1/2,-y+1/2,z'
loop_
_atom_site_label
_atom_site_type_symbol
_atom_site_fract_x
_atom_site_fract_y
_atom_site_fract_z
La1 La 0.000 0.000 0.000
La2 La 0.038 0.500 0.305
Pm1 Pm 0.231 0.000 0.847
Y1 Y 0.078 0.000 0.613
Y2 Y 0.117 0.500 0.920
Y3 Y 0.156 0.000 0.231
Y4 Y 0.193 0.500 0.540
```

Distance to the lowest polymorph of the same formula in meV/atom: 0.0
Calculated total energy in eV/f.u.: -75.647
Spin magnetization in μB per atom: 0.0000


Which value of spin magnetization does entry 3 give? 0.0000 μB per atom


Among the records above, which one has the highest calculated total energy? LaPm9Y2